# 1
Density functional theory data (GGA-PBE) for a relaxed Sr2Zn2InAg5 crystal.

Cell lengths 10.5878, 10.5878, 4.0307 Å; angles 90.00, 90.00, 90.00 degrees
With the nearest neighbours (Å) after each atom.
Space group P4/mbm (No. 127)
Unique sites:
Sr 0.1809 0.3191 0.0000 x4  3 Zn 3.05-3.22, 2 Ag 3.38
Zn 0.1157 0.6157 0.0000 x4  6 Ag 2.66-2.82
In 0.0000 0.0000 0.0000 x2  8 Ag 3.04
Ag 0.0000 0.5000 0.5000 x2  4 Zn 2.66
Ag 0.0565 0.7926 0.5000 x8  2 Zn 2.82, 2 In 3.04, 1 Ag 3.16

## Properties
- calculated density (g cm⁻³) = 7.1
- total energy (eV/cell) = -48.96
- M_tot (μB/f.u.) = 0.0



# 2
Density functional theory data (GGA-PBE) for a relaxed SrZnInAg3 crystal.

Cell lengths 8.0315, 12.2916, 6.1033 Å; angles 90.00, 90.00, 90.00 degrees
With the nearest neighbours (Å) after each atom.
Space group Cmcm (No. 63)
Unique sites:
Sr 0.0000 0.1995 0.2500 x4  1 Zn 3.04, 2 In 3.27
Zn 0.0000 0.4470 0.2500 x4  5 Ag 2.61-2.66
In 0.0000 0.1041 0.7500 x4  5 Ag 2.83-2.86
Ag 0.0000 0.3368 0.7500 x4  1 Zn 2.66, 1 In 2.86
Ag 0.2496 0.0000 0.0000 x8  2 Zn 2.61, 2 In 2.83

## Properties
- calculated density (g cm⁻³) = 6.5
- total energy (eV/cell) = -58.28
- M_tot (μB/f.u.) = 0.0



# 3
Density functional theory data (GGA-PBE) for a relaxed Sr2ZnIn6Ag crystal.

Cell lengths 7.2875, 7.2875, 37.5180 Å; angles 90.00, 90.00, 120.00 degrees
With the nearest neighbours (Å) after each atom.
Space group R-3m (No. 166, hexagonal axes)
Unique sites:
Sr 0.0000 0.0000 0.1074 x6  12 In 3.65-3.94, 1 Ag 4.03
Sr 0.0000 0.0000 0.2837 x6  12 In 3.53-3.70
Zn 0.0000 0.0000 0.4276 x6  1 Ag 2.72, 6 In 2.84-2.85
In 0.0523 0.5261 0.2985 x18  1 Ag 2.76, 1 Zn 2.85, 2 In 3.07
In 0.0585 0.5293 0.8683 x18  1 Ag 2.80, 1 Zn 2.84, 2 In 3.00
Ag 0.0000 0.0000 0.0000 x3  6 In 2.76
Ag 0.0000 0.0000 0.5000 x3  2 Zn 2.72, 6 In 2.80

## Properties
- calculated density (g cm⁻³) = 6.0
- total energy (eV/cell) = -153.07
- M_tot (μB/f.u.) = 0.0



# 4
Density functional theory data (GGA-PBE) for a relaxed SrZn2InAg5 crystal.

Cell lengths 5.0629, 5.0629, 7.6290 Å; angles 90.00, 90.00, 90.00 degrees
With the nearest neighbours (Å) after each atom.
Space group P4/mmm (No. 123)
Unique sites:
Sr 0.0000 0.0000 0.0000 x1  12 Ag 3.29-3.58
Zn 0.5000 0.5000 0.3407 x2  1 Zn 2.43, 5 Ag 2.58-2.60
In 0.0000 0.0000 0.5000 x1  8 Ag 3.06
Ag 0.0000 0.5000 0.2745 x4  2 Zn 2.58
Ag 0.5000 0.5000 0.0000 x1  2 Zn 2.60

## Properties
- calculated density (g cm⁻³) = 7.4
- total energy (eV/cell) = -21.16
- M_tot (μB/f.u.) = 0.0



# 5
Density functional theory data (GGA-PBE) for a relaxed Sr2Zn4InAg3 crystal.

Cell lengths 4.5381, 4.5381, 11.1453 Å; angles 90.00, 90.00, 90.00 degrees
With the nearest neighbours (Å) after each atom.
Space group P-4m2 (No. 115)
Unique sites:
Sr 0.0000 0.5000 0.2459 x2  8 Zn 3.45-3.56, 6 Ag 3.48-3.63, 2 In 3.63
Zn 0.0000 0.0000 0.0000 x1  4 Ag 2.67
Zn 0.0000 0.5000 0.6405 x2  3 Ag 2.60-2.76, 2 In 2.76
Zn 0.5000 0.5000 0.0000 x1  4 Ag 2.67
In 0.0000 0.0000 0.5000 x1  4 Zn 2.76
Ag 0.0000 0.5000 0.8740 x2  5 Zn 2.60-2.67
Ag 0.5000 0.5000 0.5000 x1  4 Zn 2.76

## Properties
- calculated density (g cm⁻³) = 6.3
- total energy (eV/cell) = -22.01
- M_tot (μB/f.u.) = 0.0



# 6
Density functional theory data (GGA-PBE) for a relaxed SrZnInAg2 crystal.

Cell lengths 4.4077, 4.4753, 12.1721 Å; angles 90.00, 90.00, 90.00 degrees
With the nearest neighbours (Å) after each atom.
Space group Imm2 (No. 44)
Unique sites:
Sr 0.0000 0.0000 0.0000 x2  6 Ag 3.39-3.63, 4 Zn 3.40, 4 In 3.77
Zn 0.0000 0.0000 0.3920 x2  3 Ag 2.60-2.73, 2 In 2.79
In 0.0000 0.5000 0.7511 x2  2 Zn 2.79, 2 Ag 2.85
Ag 0.0000 0.0000 0.6057 x2  1 Zn 2.60, 2 In 2.85
Ag 0.0000 0.5000 0.2634 x2  2 Zn 2.73, 2 Ag 2.92

## Properties
- calculated density (g cm⁻³) = 6.7
- total energy (eV/cell) = -25.22
- M_tot (μB/f.u.) = 0.0



# 7
Density functional theory data (GGA-PBE) for a relaxed SrZrIn2Ag crystal.

Cell lengths 5.2581, 5.2581, 5.5325 Å; angles 90.00, 90.00, 90.00 degrees
With the nearest neighbours (Å) after each atom.
Space group P4/mmm (No. 123)
Unique sites:
Sr 0.0000 0.0000 0.0000 x1  2 Ag 2.77
Zr 0.5000 0.5000 0.0000 x1  4 Sr 3.72, 8 In 3.82
In 0.0000 0.5000 0.5000 x2  2 Ag 2.63
Ag 0.0000 0.0000 0.5000 x1  4 In 2.63, 2 Sr 2.77

## Properties
- calculated density (g cm⁻³) = 5.6
- total energy (eV/cell) = -16.08
- M_tot (μB/f.u.) = 1.3



# 8
Density functional theory data (GGA-PBE) for a relaxed TaInAg2 crystal.

Cell lengths 3.0046, 5.0499, 5.0501 Å; angles 90.00, 90.00, 90.00 degrees
With the nearest neighbours (Å) after each atom.
Space group Pmmm (No. 47)
Unique sites:
Ta 0.0000 0.0000 0.0000 x1  4 In 2.94, 4 Ag 2.94, 2 Ta 3.00
In 0.5000 0.5000 0.0000 x1  4 Ta 2.94, 4 Ag 2.94, 2 In 3.00
Ag 0.0000 0.5000 0.5000 x1  6 Ag 2.94-3.00, 4 In 2.94
Ag 0.5000 0.0000 0.5000 x1  6 Ag 2.94-3.00, 4 Ta 2.94

## Properties
- calculated density (g cm⁻³) = 11.1
- total energy (eV/cell) = -19.01
- M_tot (μB/f.u.) = 0.0